The following is a PBE calculation of a relaxed AcLa2Th crystal, from the Alexandria database.

Cell: 5.968 5.968 5.968 Å, 60.00 60.00 60.00°
Each line ends with the local moment (μB).
Fractional positions:
Th1 0.000 0.000 0.000  0.26
Ac1 0.500 0.500 0.500  0.07
La1 0.250 0.250 0.250  0.13
La2 0.750 0.750 0.750  0.13

Values from the calculation:
As for the space-group type: No. 225. The total magnetization comes out at 1.23 μB/cell. The energy above the most stable polymorph in this dataset is 184.3 meV per atom. As for the formation energy from the elements: 0.21 eV/atom.